i) ## ZnGe2Rh (PBE-GGA)

Data for a relaxed structure of ZnGe2Rh.

a = 6.1592 Å, b = 6.1592 Å, c = 6.1592 Å
α = 99.12°, β = 99.12°, γ = 133.09°
Last column: nearest neighbours and their distance in Å.
Sites, in units of the cell vectors:
Zn: 0.0000 0.0000 0.0000  2 Rh 2.45
Zn: 0.7500 0.2500 0.5000  2 Rh 2.45
Ge: 0.2142 0.6250 0.0892  2 Rh 2.45
Ge: 0.3750 0.4642 0.5892  2 Rh 2.45
Ge: 0.5358 0.1250 0.9108  2 Rh 2.45
Ge: 0.8750 0.7858 0.4108  2 Rh 2.45
Rh: 0.2500 0.7500 0.5000  2 Zn 2.45, 4 Ge 2.45
Rh: 0.5000 0.5000 0.0000  2 Zn 2.45, 4 Ge 2.45

Computed properties:
Space group ... No. 122
Size of the total moment ... 0.00 Bohr magnetons per cell

ii) ## ZnGe2Rh (PBE-GGA)

Data for a relaxed structure of ZnGe2Rh.

a = 4.4674 Å, b = 4.4674 Å, c = 4.4674 Å
α = 60.00°, β = 60.00°, γ = 60.00°
Last column: nearest neighbours and their distance in Å.
Sites, in units of the cell vectors:
Zn: 0.0000 0.0000 0.0000  8 Ge 2.74
Ge: 0.2500 0.2500 0.2500  4 Rh 2.74, 4 Zn 2.74
Ge: 0.7500 0.7500 0.7500  4 Rh 2.74, 4 Zn 2.74
Rh: 0.5000 0.5000 0.5000  8 Ge 2.74

Computed properties:
Space group ... No. 225
Size of the total moment ... 0.00 Bohr magnetons per cell

iii) ## ZnGe2Rh (PBE-GGA)

Data for a relaxed structure of ZnGe2Rh.

a = 6.8735 Å, b = 6.8735 Å, c = 6.8735 Å
α = 35.16°, β = 35.16°, γ = 35.16°
Last column: nearest neighbours and their distance in Å.
Sites, in units of the cell vectors:
Zn: 0.0000 0.0000 0.0000  2 Ge 2.48
Ge: 0.1286 0.1286 0.1286  1 Zn 2.48, 3 Rh 2.51
Ge: 0.8714 0.8714 0.8714  1 Zn 2.48, 3 Rh 2.51
Rh: 0.5000 0.5000 0.5000  6 Ge 2.51

Computed properties:
Space group ... No. 166
Size of the total moment ... 0.00 Bohr magnetons per cell

Question: of the structures shown, which is the least stable? Reply: iii).